(1)
# ZrP2OsO

A PBEsol-optimized structure of ZrP2OsO (meta-GGA SCAN, Alexandria).

The value obtained for the formation energy from raw total energies is -0.23 eV per atom. Its total magnetic moment is 0.00 μB per cell. The value obtained for the total energy is -130.76 eV per cell.

The structure belongs to space group P4/mmm (No. 123); the cell edges are 4.7583, 4.7583 and 3.6258 Å and the angles 90.00°, 90.00° and 90.00°. The inequivalent atoms are Zr at (0.0000, 0.0000, 0.0000), P at (0.0000, 0.5000, 0.5000), Os at (0.5000, 0.5000, 0.5000) and O at (0.5000, 0.5000, 0.0000).



(2)
# Cr2InAs

A PBEsol-optimized structure of Cr2InAs (meta-GGA SCAN, Alexandria).

As for the energy of formation from the pure elements: 0.1132 eV per atom. Its total magnetic moment is 1.50 μB per cell. The value obtained for the total energy is -179.79 eV per cell.

The structure belongs to space group Amm2 (No. 38); the cell edges are 4.3863, 3.0493 and 9.8496 Å and the angles 90.00°, 90.00° and 90.00°. The inequivalent atoms are Cr at (0.0000, 0.0000, 0.0000), Cr at (0.5000, 0.0000, 0.3885), In at (0.0000, 0.0000, 0.7370) and As at (0.5000, 0.0000, 0.0961).



(3)
# TaCrCu2

A PBEsol-optimized structure of TaCrCu2 (meta-GGA SCAN, Alexandria).

As for the energy of formation from the pure elements: 0.2265 eV per atom. Its total magnetic moment is 0.00 μB per cell. The value obtained for the total energy is -114.46 eV per cell.

The structure belongs to space group Pm (No. 6); the cell edges are 2.5473, 4.1731 and 4.8847 Å and the angles 90.00°, 95.92° and 90.00°. The inequivalent atoms are Ta at (0.0000, 0.0000, 0.0000), Cr at (0.7891, 0.5000, 0.2965), Cu at (0.4063, 0.5000, 0.7667) and Cu at (0.4183, 0.0000, 0.5024).



(4)
# Tc2SbAs

A PBEsol-optimized structure of Tc2SbAs (meta-GGA SCAN, Alexandria).

The value obtained for the formation energy from raw total energies is 0.00 eV per atom. Its total magnetic moment is 0.00 μB per cell. The value obtained for the total energy is -255.17 eV per cell.

The structure belongs to space group Cm (No. 8); the cell edges are 8.6929, 3.1506 and 5.1348 Å and the angles 90.00°, 107.22° and 90.00°. The inequivalent atoms are Tc at (0.0000, 0.0000, 0.0000), Tc at (0.2394, 0.0000, 0.6258), Sb at (0.4809, 0.0000, 0.4232) and As at (0.2182, 0.5000, 0.9851).



(5)
# CaCd2Pd2

A PBEsol-optimized structure of CaCd2Pd2 (meta-GGA SCAN, Alexandria).

As for the energy of formation from the pure elements: -0.4780 eV per atom. Its total magnetic moment is 0.00 μB per cell. The value obtained for the total energy is -276.86 eV per cell.

The structure belongs to space group I4/mmm (No. 139); the cell edges are 4.1301, 4.1301 and 12.2668 Å and the angles 90.00°, 90.00° and 90.00°. The inequivalent atoms are Ca at (0.0000, 0.0000, 0.0000), Cd at (0.0000, 0.5000, 0.2500) and Pd at (0.0000, 0.0000, 0.3960).



(6)
# ScRh2Se

A PBEsol-optimized structure of ScRh2Se (meta-GGA SCAN, Alexandria).

The value obtained for the formation energy from raw total energies is -0.53 eV per atom. Its total magnetic moment is 0.00 μB per cell. The value obtained for the total energy is -103.97 eV per cell.

The structure belongs to space group P2/m (No. 10); the cell edges are 3.0723, 4.4163 and 4.6453 Å and the angles 90.00°, 93.23° and 90.00°. The inequivalent atoms are Sc at (0.0000, 0.0000, 0.0000), Rh at (0.2832, 0.5000, 0.7401) and Se at (0.5000, 0.0000, 0.5000).



(7)
# La2WBr

A PBEsol-optimized structure of La2WBr (meta-GGA SCAN, Alexandria).

The value obtained for the formation energy from raw total energies is 0.48 eV per atom. Its total magnetic moment is 4.02 μB per cell. The value obtained for the total energy is -520.30 eV per cell.

The structure belongs to space group R3m (No. 160, hexagonal axes); the cell edges are 3.4466, 3.4466 and 29.5024 Å and the angles 90.00°, 90.00° and 120.00°. The inequivalent atoms are La at (0.0000, 0.0000, 0.0000), La at (0.0000, 0.0000, 0.2327), W at (0.0000, 0.0000, 0.7383) and Br at (0.0000, 0.0000, 0.4872).



(8)
# GaFeBTe2

A PBEsol-optimized structure of GaFeBTe2 (meta-GGA SCAN, Alexandria).

The value obtained for the formation energy from raw total energies is 0.66 eV per atom. Its total magnetic moment is 2.98 μB per cell. The value obtained for the total energy is -113.10 eV per cell.

The structure belongs to space group P4/mmm (No. 123); the cell edges are 4.9694, 4.9694 and 3.9200 Å and the angles 90.00°, 90.00° and 90.00°. The inequivalent atoms are Ga at (0.0000, 0.0000, 0.0000), Fe at (0.5000, 0.5000, 0.0000), B at (0.5000, 0.5000, 0.5000) and Te at (0.0000, 0.5000, 0.5000).



(9)
# BeAlSb2

A PBEsol-optimized structure of BeAlSb2 (meta-GGA SCAN, Alexandria).

The value obtained for the formation energy from raw total energies is 0.36 eV per atom. Its total magnetic moment is 0.00 μB per cell. The value obtained for the total energy is -85.18 eV per cell.

The structure belongs to space group P4mm (No. 99); the cell edges are 3.0002, 3.0002 and 9.0058 Å and the angles 90.00°, 90.00° and 90.00°. The inequivalent atoms are Be at (0.0000, 0.0000, 0.0000), Al at (0.5000, 0.5000, 0.8412), Sb at (0.0000, 0.0000, 0.5672) and Sb at (0.5000, 0.5000, 0.2097).



(10)
# SrOsAu3

A PBEsol-optimized structure of SrOsAu3 (meta-GGA SCAN, Alexandria).

As for the energy of formation from the pure elements: 1.9630 eV per atom. Its total magnetic moment is 4.42 μB per cell. The value obtained for the total energy is -291.81 eV per cell.

The structure belongs to space group Pm-3m (No. 221); the cell edges are 5.3642, 5.3642 and 5.3642 Å and the angles 90.00°, 90.00° and 90.00°. The inequivalent atoms are Sr at (0.0000, 0.0000, 0.0000), Os at (0.5000, 0.5000, 0.5000) and Au at (0.0000, 0.0000, 0.5000).



(11)
# P3Cl

A PBEsol-optimized structure of P3Cl (meta-GGA SCAN, Alexandria).

The value obtained for the formation energy from raw total energies is 1.28 eV per atom. Its total magnetic moment is 0.00 μB per cell. The value obtained for the total energy is -34.07 eV per cell.

The structure belongs to space group Pm-3m (No. 221); the cell edges are 3.9440, 3.9440 and 3.9440 Å and the angles 90.00°, 90.00° and 90.00°. The inequivalent atoms are P at (0.0000, 0.0000, 0.5000) and Cl at (0.5000, 0.5000, 0.5000).



(12)
# Cu2TcPb

A PBEsol-optimized structure of Cu2TcPb (meta-GGA SCAN, Alexandria).

As for the energy of formation from the pure elements: 0.5500 eV per atom. Its total magnetic moment is 0.00 μB per cell. The value obtained for the total energy is -139.04 eV per cell.

The structure belongs to space group P2/m (No. 10); the cell edges are 2.9019, 3.7748 and 5.6517 Å and the angles 90.00°, 90.07° and 90.00°. The inequivalent atoms are Cu at (0.0001, 0.0000, 0.2116), Tc at (0.5000, 0.5000, 0.0000) and Pb at (0.5000, 0.5000, 0.5000).